The following is a GGA-PBE calculation of a relaxed Np2Si4Ni3Os crystal, from Alexandria via LeMat-Bulk.

## Properties
The space-group type is P-4m2, No. 115. For the uncorrected formation energy, the calculation gives -0.516 eV/atom.

Lattice parameters (Å, degrees): 4.0006 4.0006 9.5741 90.00 90.00 90.00
Sites, in units of the cell vectors:
Np  0.0000  0.5000  0.2444
Np  0.5000  0.0000  0.7556
Si  0.0000  0.0000  0.0000
Si  0.0000  0.5000  0.6383
Si  0.5000  0.0000  0.3617
Si  0.5000  0.5000  0.0000
Ni  0.0000  0.5000  0.8789
Ni  0.5000  0.0000  0.1211
Ni  0.5000  0.5000  0.5000
Os  0.0000  0.0000  0.5000

The following is a GGA-PBE calculation of a relaxed KSr2PIr crystal, from Alexandria via LeMat-Bulk.

## Properties
The space-group type is P4/mmm, No. 123. For the formation energy, the calculation gives 0.269 eV per atom.

Lattice parameters (Å, degrees): 5.6786 5.6786 5.6540 90.00 90.00 90.00
Sites, in units of the cell vectors:
K  0.0000  0.0000  0.0000
Sr  0.0000  0.5000  0.5000
Sr  0.5000  0.0000  0.5000
P  0.5000  0.5000  0.0000
Ir  0.0000  0.0000  0.5000

The following is a GGA-PBE calculation of a relaxed SmU3Tl4Te8 crystal, from Alexandria via LeMat-Bulk.

## Properties
The space-group type is R-3m, No. 166. For the uncorrected formation energy, the calculation gives -0.650 eV/atom.

Lattice parameters (Å, degrees): 9.7582 9.7582 9.7582 54.14 54.14 54.14
Sites, in units of the cell vectors:
Sm  0.0000  0.0000  0.0000
U  0.0000  0.5000  0.5000
U  0.5000  0.0000  0.5000
U  0.5000  0.5000  0.0000
Tl  0.0000  0.0000  0.5000
Tl  0.0000  0.5000  0.0000
Tl  0.5000  0.0000  0.0000
Tl  0.5000  0.5000  0.5000
Te  0.2404  0.2404  0.7367
Te  0.2404  0.7367  0.2404
Te  0.2613  0.2613  0.2613
Te  0.2633  0.7596  0.7596
Te  0.7367  0.2404  0.2404
Te  0.7387  0.7387  0.7387
Te  0.7596  0.2633  0.7596
Te  0.7596  0.7596  0.2633

The following is a GGA-PBE calculation of a relaxed ReNiOs2 crystal, from Alexandria via LeMat-Bulk.

## Properties
The space-group type is Pmmm, No. 47. For the formation energy, the calculation gives 0.103 eV per atom.

Lattice parameters (Å, degrees): 2.7088 3.8142 5.3369 90.00 90.00 90.00
Sites, in units of the cell vectors:
Re  0.0000  0.0000  0.0000
Ni  0.0000  0.0000  0.5000
Os  0.5000  0.5000  0.2585
Os  0.5000  0.5000  0.7415

The following is a GGA-PBE calculation of a relaxed CsTlSiAs2 crystal, from Alexandria via LeMat-Bulk.

## Properties
The space-group type is Cmme, No. 67. For the uncorrected formation energy, the calculation gives -0.173 eV/atom.

Lattice parameters (Å, degrees): 7.7571 7.7571 8.2034 90.00 90.00 132.50
Sites, in units of the cell vectors:
Cs  0.2500  0.7500  0.7988
Cs  0.7500  0.2500  0.2012
Tl  0.0000  0.0000  0.5000
Tl  0.5000  0.5000  0.5000
Si  0.2500  0.2500  0.0000
Si  0.7500  0.7500  0.0000
As  0.0897  0.9103  0.1573
As  0.4103  0.5897  0.1573
As  0.5897  0.4103  0.8427
As  0.9103  0.0897  0.8427

The following is a GGA-PBE calculation of a relaxed Th5TlAu crystal, from Alexandria via LeMat-Bulk.

## Properties
The space-group type is C2/c, No. 15. For the formation energy, the calculation gives 0.152 eV per atom.

Lattice parameters (Å, degrees): 7.8766 7.8766 8.3433 108.21 108.21 74.26
Sites, in units of the cell vectors:
Th  0.0903  0.9097  0.7500
Th  0.1571  0.3009  0.0436
Th  0.1863  0.6907  0.3691
Th  0.3009  0.1571  0.5436
Th  0.3093  0.8137  0.1309
Th  0.6907  0.1863  0.8691
Th  0.6991  0.8429  0.4564
Th  0.8137  0.3093  0.6309
Th  0.8429  0.6991  0.9564
Th  0.9097  0.0903  0.2500
Tl  0.4346  0.5654  0.7500
Tl  0.5654  0.4346  0.2500
Au  0.0000  0.5000  0.5000
Au  0.5000  0.0000  0.0000

Q: What is the formula in the fourth record?
A: ReNiOs2

Copy entry 6 word for word.
The following is a GGA-PBE calculation of a relaxed Th5TlAu crystal, from Alexandria via LeMat-Bulk.

## Properties
The space-group type is C2/c, No. 15. For the formation energy, the calculation gives 0.152 eV per atom.

Lattice parameters (Å, degrees): 7.8766 7.8766 8.3433 108.21 108.21 74.26
Sites, in units of the cell vectors:
Th  0.0903  0.9097  0.7500
Th  0.1571  0.3009  0.0436
Th  0.1863  0.6907  0.3691
Th  0.3009  0.1571  0.5436
Th  0.3093  0.8137  0.1309
Th  0.6907  0.1863  0.8691
Th  0.6991  0.8429  0.4564
Th  0.8137  0.3093  0.6309
Th  0.8429  0.6991  0.9564
Th  0.9097  0.0903  0.2500
Tl  0.4346  0.5654  0.7500
Tl  0.5654  0.4346  0.2500
Au  0.0000  0.5000  0.5000
Au  0.5000  0.0000  0.0000